Entry 1:
First-principles (GGA-PBE) data for an optimized crystal structure of Nd3GaCu2, as listed in Alexandria.

a b c (Å): 3.6308 5.1491 8.0911
angles (deg): 108.55 90.00 90.00
Element x y z (fractional)
Cu (0.0000, 0.6606, 0.3212)
Nd (0.5000, 0.5000, 0.0000)
Ga (0.0000, 0.0000, 0.0000)
Nd (0.5000, 0.1695, 0.3389)
Cu (0.0000, 0.3394, 0.6788)
Nd (0.5000, 0.8305, 0.6611)

formation enthalpy at 0 K	-0.269	eV per atom
V	23.90	A^3/atom
total magnetization	0.0	μB/f.u.
DOS(E_F)	0.98	states/eV/atom

=====

Entry 2:
First-principles (GGA-PBE) data for an optimized crystal structure of Nd8Ga2Cu, as listed in Alexandria.

a b c (Å): 5.0885 6.8617 9.8140
angles (deg): 103.11 105.03 90.00
Element x y z (fractional)
Ga (0.1844, 0.7481, 0.3688)
Nd (0.2087, 0.3117, 0.4174)
Nd (0.3442, 0.0211, 0.6884)
Ga (0.8156, 0.2519, 0.6312)
Nd (0.4069, 0.5327, 0.8137)
Nd (0.6558, 0.9789, 0.3116)
Nd (0.5931, 0.4673, 0.1863)
Nd (0.0192, 0.7787, 0.0384)
Nd (0.7913, 0.6883, 0.5826)
Cu (0.5000, 0.0000, 0.0000)
Nd (0.9808, 0.2213, 0.9616)

formation enthalpy at 0 K	-0.213	eV per atom
V	29.24	A^3/atom
total magnetization	0.0	μB/f.u.
DOS(E_F)	0.97	states/eV/atom

=====

Entry 3:
First-principles (GGA-PBE) data for an optimized crystal structure of Nd2Ga6Cu, as listed in Alexandria.

a b c (Å): 6.3234 6.3234 6.3234
angles (deg): 60.00 60.00 60.00
Element x y z (fractional)
Ga (0.2820, 0.2820, 0.7180)
Nd (0.7500, 0.7500, 0.7500)
Ga (0.7180, 0.2820, 0.7180)
Ga (0.2820, 0.7180, 0.7180)
Cu (0.0000, 0.0000, 0.0000)
Ga (0.7180, 0.7180, 0.2820)
Ga (0.7180, 0.2820, 0.2820)
Ga (0.2820, 0.7180, 0.2820)
Nd (0.2500, 0.2500, 0.2500)

formation enthalpy at 0 K	-0.492	eV per atom
V	19.87	A^3/atom
total magnetization	0.0	μB/f.u.
DOS(E_F)	0.42	states/eV/atom

=====

> Which value of formation enthalpy at 0 K does entry 1 give?

-0.269 eV per atom

=====

> Number 3 is which compound?

Nd2Ga6Cu

=====

Copy entry 1 word for word.
First-principles (GGA-PBE) data for an optimized crystal structure of Nd3GaCu2, as listed in Alexandria.

a b c (Å): 3.6308 5.1491 8.0911
angles (deg): 108.55 90.00 90.00
Element x y z (fractional)
Cu (0.0000, 0.6606, 0.3212)
Nd (0.5000, 0.5000, 0.0000)
Ga (0.0000, 0.0000, 0.0000)
Nd (0.5000, 0.1695, 0.3389)
Cu (0.0000, 0.3394, 0.6788)
Nd (0.5000, 0.8305, 0.6611)

formation enthalpy at 0 K	-0.269	eV per atom
V	23.90	A^3/atom
total magnetization	0.0	μB/f.u.
DOS(E_F)	0.98	states/eV/atom